# 1
# BeCuRe2, relaxed, DFT PBE-GGA
# **Magnetic moment**: 0.0 μB per cell
# **Calculated formation energy**: 328 meV per atom
# **DOS(E_F)**: 0.699 states/eV per atom
# **Uncorrected energy**: -7.852 eV per atom
data_BeCuRe2
_space_group_name_H-M_alt 'P 1'
_space_group_IT_number 1
_cell_length_a 3.948
_cell_length_b 3.638
_cell_length_c 3.638
_cell_angle_alpha 90.00
_cell_angle_beta 90.00
_cell_angle_gamma 90.00
loop_
_space_group_symop_operation_xyz
'x,y,z'
loop_
_atom_site_label
_atom_site_fract_x
_atom_site_fract_y
_atom_site_fract_z
Be1 0.500 0.500 0.000
Cu1 0.500 0.000 0.500
Re1 0.000 0.500 0.500
Re2 0.000 0.000 0.000

# 2
# BeCuRe2, relaxed, DFT PBE-GGA
# **Magnetic moment**: 0.0 μB per cell
# **Calculated formation energy**: 85 meV per atom
# **DOS(E_F)**: 0.585 states/eV per atom
# **Uncorrected energy**: -8.094 eV per atom
data_BeCuRe2
_space_group_name_H-M_alt 'P 1'
_space_group_IT_number 1
_cell_length_a 4.685
_cell_length_b 4.685
_cell_length_c 4.138
_cell_angle_alpha 63.86
_cell_angle_beta 63.86
_cell_angle_gamma 38.35
loop_
_space_group_symop_operation_xyz
'x,y,z'
loop_
_atom_site_label
_atom_site_fract_x
_atom_site_fract_y
_atom_site_fract_z
Cu1 0.221 0.221 0.279
Re1 0.995 0.995 0.005
Re2 0.769 0.769 0.732
Be1 0.515 0.515 0.484